Computed, not measured: a relaxed MgTiZn3 crystal at the PBE-GGA level of DFT.

Energy relative to the lowest polymorph listed for this composition = 796 meV/atom
Total magnetic moment = 0.391 μB per atom
Space-group type = Pm-3m (221)

abc: 4.9738 4.9738 4.9738
angles: 90.00 90.00 90.00
Positions (direct):
Mg: 0.0000 0.0000 0.0000
Ti: 0.5000 0.5000 0.5000
Zn: 0.0000 0.5000 0.5000
Zn: 0.5000 0.0000 0.5000
Zn: 0.5000 0.5000 0.0000

Computed, not measured: a relaxed Mg2TiZn crystal at the PBE-GGA level of DFT.

Total magnetic moment = 0.200 μB per atom
Electronic total energy = -3.047 eV/atom
Space-group type = P4/mmm (123)

abc: 3.0303 3.0303 8.0571
angles: 90.00 90.00 90.00
Positions (direct):
Mg: 0.0000 0.0000 0.2327
Mg: 0.0000 0.0000 0.7673
Ti: 0.5000 0.5000 0.5000
Zn: 0.5000 0.5000 0.0000

Computed, not measured: a relaxed MgTi2Zn6 crystal at the PBE-GGA level of DFT.

Energy relative to the lowest polymorph listed for this composition = 56 meV/atom
Total magnetic moment = 0.027 μB per atom
Space-group type = Imm2 (44)

abc: 7.2684 7.2684 7.2684
angles: 145.99 132.77 59.47
Positions (direct):
Mg: 0.0000 0.0000 0.0000
Ti: 0.4381 0.9381 0.5000
Ti: 0.6471 0.1471 0.5000
Zn: 0.0081 0.7439 0.2642
Zn: 0.0840 0.3487 0.7353
Zn: 0.3289 0.5468 0.7821
Zn: 0.4798 0.7439 0.7358
Zn: 0.6134 0.3487 0.2647
Zn: 0.7648 0.5468 0.2179

Computed, not measured: a relaxed Mg5TiZn6 crystal at the PBE-GGA level of DFT.

Total magnetic moment = 0.000 μB per atom
Electronic total energy = -2.048 eV/atom
Space-group type = Cmmm (65)

abc: 7.0991 7.0991 6.9773
angles: 90.00 90.00 143.54
Positions (direct):
Mg: 0.0000 0.0000 0.0000
Mg: 0.3283 0.6717 0.0000
Mg: 0.3360 0.6640 0.5000
Mg: 0.6640 0.3360 0.5000
Mg: 0.6717 0.3283 0.0000
Ti: 0.0000 0.0000 0.5000
Zn: 0.1620 0.8380 0.2587
Zn: 0.1620 0.8380 0.7413
Zn: 0.5000 0.5000 0.2535
Zn: 0.5000 0.5000 0.7465
Zn: 0.8380 0.1620 0.2587
Zn: 0.8380 0.1620 0.7413